This record from the Alexandria database describes a relaxed HfTi2SiTc crystal. The functional is GGA-PBE. Values from VASP.

Calculated values
V (A^3/atom): 18.87
N(E_F) (states/eV/f.u.): 5.3
Magnetization (μB/cell): 0.00
Raw formation energy (meV per atom): 256

```
&SYSTEM
  ibrav = 0, nat = 5, ntyp = 4
/
ATOMIC_SPECIES
Hf 178.49 Hf.upf
Ti 47.87 Ti.upf
Si 28.09 Si.upf
Tc 98.00 Tc.upf
ATOMIC_POSITIONS crystal
Hf 0.0000 0.0000 0.0000
Ti 0.0000 0.5000 0.5000
Ti 0.5000 0.0000 0.5000
Si 0.5000 0.5000 0.5000
Tc 0.5000 0.5000 0.0000
CELL_PARAMETERS angstrom
4.6112 0.0000 0.0000
0.0000 4.6112 0.0000
0.0000 0.0000 4.4361
```